Density functional theory data (GGA-PBE) for crystalline Cu2Ag3 at its relaxed geometry.

Its symmetry is Cm, No. 8. The value obtained for the distance to the lowest polymorph of the same formula is 47 meV/atom.

Cell lengths 5.891, 5.891, 9.550 Å; angles 97.76, 97.76, 28.30 degrees
Fractional coordinates of all 10 atoms:
1 Ag 0.089 0.089 0.294
2 Ag 0.806 0.806 0.386
3 Ag 0.187 0.187 0.597
4 Ag 0.903 0.903 0.687
5 Ag 0.600 0.600 0.824
6 Ag 0.314 0.314 0.912
7 Cu 0.009 0.009 0.022
8 Cu 0.702 0.702 0.104
9 Cu 0.395 0.395 0.186
10 Cu 0.496 0.496 0.490

=====

Density functional theory data (GGA-PBE) for crystalline SrNiAs2Pd at its relaxed geometry.

Its symmetry is I-4m2, No. 119. The value obtained for the distance to the lowest polymorph of the same formula is 9 meV/atom.

Cell lengths 6.055, 6.055, 6.055 Å; angles 139.01, 139.01, 59.36 degrees
Fractional coordinates of all 5 atoms:
1 As 0.621 0.121 0.500
2 As 0.879 0.379 0.500
3 Ni 0.500 0.500 0.000
4 Pd 0.000 0.000 0.000
5 Sr 0.250 0.750 0.500

=====

Density functional theory data (GGA-PBE) for crystalline Li8Hg2Au at its relaxed geometry.

Its symmetry is C2/m, No. 12. The value obtained for the total energy is -2.065 eV/atom.

Cell lengths 4.476, 4.476, 10.549 Å; angles 102.41, 102.41, 59.91 degrees
Fractional coordinates of all 11 atoms:
1 Au 0.000 0.000 0.000
2 Hg 0.451 0.451 0.352
3 Hg 0.549 0.549 0.648
4 Li 0.361 0.361 0.083
5 Li 0.727 0.727 0.181
6 Li 0.087 0.087 0.262
7 Li 0.821 0.821 0.461
8 Li 0.179 0.179 0.539
9 Li 0.913 0.913 0.738
10 Li 0.273 0.273 0.819
11 Li 0.639 0.639 0.917

=====

Density functional theory data (GGA-PBE) for crystalline TlGeOs at its relaxed geometry.

Its symmetry is F-43m, No. 216. The value obtained for the distance to the lowest polymorph of the same formula is 0 meV/atom.

Cell lengths 4.450, 4.450, 4.450 Å; angles 60.00, 60.00, 60.00 degrees
Fractional coordinates of all 3 atoms:
1 Ge 0.250 0.250 0.250
2 Os 0.000 0.000 0.000
3 Tl 0.750 0.750 0.750

=====

Density functional theory data (GGA-PBE) for crystalline KRbEr2P2 at its relaxed geometry.

Its symmetry is P4mm, No. 99. The value obtained for the total energy is -4.361 eV/atom.

Cell lengths 4.901, 4.901, 7.861 Å; angles 90.00, 90.00, 90.00 degrees
Fractional coordinates of all 6 atoms:
1 Er 0.500 0.000 0.003
2 Er 0.000 0.500 0.003
3 K 0.000 0.000 0.378
4 P 0.500 0.500 0.167
5 P 0.000 0.000 0.831
6 Rb 0.500 0.500 0.617

=====

Density functional theory data (GGA-PBE) for crystalline BaHg2Bi2 at its relaxed geometry.

Its symmetry is P-1, No. 2. The value obtained for the distance to the lowest polymorph of the same formula is 0 meV/atom.

Cell lengths 5.497, 7.091, 9.434 Å; angles 103.30, 90.14, 112.61 degrees
Fractional coordinates of all 10 atoms:
1 Ba 0.249 0.000 0.250
2 Ba 0.751 0.000 0.750
3 Bi 0.957 0.412 0.152
4 Bi 0.544 0.588 0.348
5 Bi 0.456 0.412 0.652
6 Bi 0.043 0.588 0.848
7 Hg 0.629 0.762 0.043
8 Hg 0.869 0.238 0.457
9 Hg 0.131 0.762 0.543
10 Hg 0.371 0.238 0.957

=====

Density functional theory data (GGA-PBE) for crystalline Zn4Cd3 at its relaxed geometry.

Its symmetry is P6_3/m, No. 176. The value obtained for the total energy is -1.032 eV/atom.

Cell lengths 7.609, 7.609, 4.891 Å; angles 90.00, 90.00, 60.00 degrees
Fractional coordinates of all 14 atoms:
1 Cd 0.731 0.419 0.000
2 Cd 0.276 0.565 0.000
3 Cd 0.422 0.874 0.000
4 Cd 0.531 0.365 0.500
5 Cd 0.676 0.674 0.500
6 Cd 0.222 0.819 0.500
7 Zn 0.985 0.004 0.000
8 Zn 0.582 0.128 0.000
9 Zn 0.143 0.286 0.000
10 Zn 0.861 0.725 0.000
11 Zn 0.370 0.110 0.500
12 Zn 0.968 0.234 0.500
13 Zn 0.091 0.513 0.500
14 Zn 0.810 0.952 0.500

=====

Density functional theory data (GGA-PBE) for crystalline MgTcB4 at its relaxed geometry.

Its symmetry is Immm, No. 71. The value obtained for the distance to the lowest polymorph of the same formula is 0 meV/atom.

Cell lengths 4.494, 4.494, 4.494 Å; angles 140.93, 108.67, 84.46 degrees
Fractional coordinates of all 6 atoms:
1 B 0.593 0.254 0.339
2 B 0.085 0.746 0.339
3 B 0.915 0.254 0.661
4 B 0.407 0.746 0.661
5 Mg 0.000 0.000 0.000
6 Tc 0.500 0.500 0.000

=====

What is the formula in the sixth record? BaHg2Bi2